VASP calculation (PBE-GGA) on an optimized crystal structure of TiNbSb2.

crystal system = tetragonal
raw total energy = -26.9 eV for the cell shown
energy above the lowest structure with this stoichiometry = 10 meV per atom
raw formation energy = -0.169 eV/atom
SG = P4/mmm

The structure in POSCAR format:
```
TiNbSb2
1.0
-0.1453 -3.4077 0.2045
4.5507 -0.0977 1.6039
-1.5937 0.3406 4.5426
Nb Sb Ti
1 2 1
Direct
0.5000 0.0000 0.0000
0.0000 0.0000 0.5000
0.0000 0.5000 0.0000
0.5000 0.5000 0.5000
```